Computed, not measured: a relaxed GeAs3Ir crystal at the GGA-PBE level of DFT.

M_tot: 0.0000 μB/atom
polymorph energy (0 for the lowest one): 58.8 kJ/mol of atoms
calculated total energy: -20.90 eV/cell
symmetry: Pm-3m (221)
ΔH_f (0 K): 1.305 eV/atom
density of states at the Fermi level: 4.0 states/eV/cell

abc: 4.7474 4.7474 4.7474
angles: 90.00 90.00 90.00
Element x y z (fractional)
As  0.0000  0.5000  0.0000
As  0.0000  0.0000  0.5000
As  0.5000  0.0000  0.0000
Ir  0.5000  0.5000  0.5000
Ge  0.0000  0.0000  0.0000

Computed, not measured: a relaxed GeAs2Ir crystal at the GGA-PBE level of DFT.

M_tot: 0.0000 μB/atom
calculated total energy: -45.30 eV/cell
symmetry: I-42d (122)
ΔH_f (0 K): 0.031 eV/atom
density of states at the Fermi level: 6.9 states/eV/cell

abc: 5.6734 5.6734 6.9892
angles: 66.05 66.05 90.00
Element x y z (fractional)
As  0.6489  0.1250  0.2500
As  0.1011  0.6250  0.2500
As  0.3750  0.3511  0.7500
As  0.8750  0.8989  0.7500
Ir  0.0000  0.0000  0.0000
Ir  0.7500  0.2500  0.5000
Ge  0.5000  0.5000  0.0000
Ge  0.2500  0.7500  0.5000

Computed, not measured: a relaxed GeAsIr crystal at the GGA-PBE level of DFT.

M_tot: 0.0000 μB/atom
polymorph energy (0 for the lowest one): 0.0 kJ/mol of atoms
calculated total energy: -76.90 eV/cell
symmetry: P2_1/c (14)
ΔH_f (0 K): -0.366 eV/atom
density of states at the Fermi level: 0.9 states/eV/cell

abc: 5.9240 6.3391 6.3159
angles: 90.00 90.00 117.82
Element x y z (fractional)
Ge  0.3350  0.6703  0.1419
Ge  0.6650  0.8297  0.6419
Ge  0.3350  0.1703  0.3581
Ge  0.6650  0.3297  0.8581
As  0.1687  0.8375  0.6267
As  0.8313  0.6625  0.1267
As  0.1687  0.3375  0.8733
As  0.8313  0.1625  0.3733
Ir  0.7549  0.5019  0.4970
Ir  0.2451  0.4981  0.5030
Ir  0.2451  0.9981  0.9970
Ir  0.7549  0.0019  0.0030

Computed, not measured: a relaxed LaGeAsIr2 crystal at the GGA-PBE level of DFT.

M_tot: 0.0000 μB/atom
polymorph energy (0 for the lowest one): 0.0 kJ/mol of atoms
calculated total energy: -31.68 eV/cell
symmetry: P4/mmm (123)
ΔH_f (0 K): 0.047 eV/atom
density of states at the Fermi level: 1.3 states/eV/cell

abc: 4.6258 5.1256 4.6258
angles: 90.00 90.00 90.00
Element x y z (fractional)
As  0.0000  0.5000  0.0000
Ir  0.0000  0.0000  0.5000
Ir  0.5000  0.0000  0.0000
Ge  0.0000  0.0000  0.0000
La  0.5000  0.5000  0.5000

Computed, not measured: a relaxed LaGeAsIr2 crystal at the GGA-PBE level of DFT.

M_tot: 0.0089 μB/atom
polymorph energy (0 for the lowest one): 6.6 kJ/mol of atoms
calculated total energy: -31.34 eV/cell
symmetry: P4/mmm (123)
ΔH_f (0 K): 0.116 eV/atom
density of states at the Fermi level: 4.3 states/eV/cell

abc: 4.6579 5.0776 4.6579
angles: 90.00 90.00 90.00
Element x y z (fractional)
As  0.0000  0.0000  0.0000
Ir  0.0000  0.0000  0.5000
Ir  0.5000  0.0000  0.0000
Ge  0.0000  0.5000  0.0000
La  0.5000  0.5000  0.5000

Computed, not measured: a relaxed Nd2GeAs3Ir4 crystal at the GGA-PBE level of DFT.

M_tot: 0.0000 μB/atom
calculated total energy: -71.02 eV/cell
symmetry: P-4m2 (115)
ΔH_f (0 K): -0.747 eV/atom
density of states at the Fermi level: 5.4 states/eV/cell

abc: 4.2592 4.2592 10.2563
angles: 90.00 90.00 90.00
Element x y z (fractional)
Nd  0.5000  0.0000  0.2519
Nd  0.0000  0.5000  0.7481
Ge  0.5000  0.5000  0.5000
As  0.0000  0.0000  0.5000
As  0.5000  0.0000  0.8618
As  0.0000  0.5000  0.1382
Ir  0.5000  0.5000  0.0000
Ir  0.0000  0.0000  0.0000
Ir  0.5000  0.0000  0.6248
Ir  0.0000  0.5000  0.3752